A plane-wave DFT calculation with GGA+U was carried out for an optimized crystal structure of CoTcO2.

Unit cell a=2.7635 b=2.7635 c=19.3604 alpha=90.00 beta=90.00 gamma=120.00
Space group R-3m (No. 166, hexagonal axes)
Symmetry-distinct sites (fractional):
1 Co 0.0000 0.0000 0.0000
2 Tc 0.0000 0.0000 0.5000
3 O 0.0000 0.0000 0.0967

Summary:
As for the excess energy over the best structure of this formula in the dataset: 0 meV per atom. As for the calculated density: 7.4 Mg/m³. The calculation puts the total energy at -28.382 eV per formula unit. The value obtained for the density of states at the Fermi level is 1.43 states/eV/f.u.